U3GaS6 | PBE | optimized geometry

## Properties
- total magnetic moment (μB/atom) = 0.700
- total DFT energy (no corrections) (eV per atom) = -7.360
- formation energy without anion corrections (meV per atom) = -1194
- volume (Å³/cell) = 914.88

```
data_U3GaS6
_space_group_name_H-M_alt 'C m c 21'
_space_group_IT_number 36
_cell_length_a 10.395
_cell_length_b 12.835
_cell_length_c 6.858
_cell_angle_alpha 90.00
_cell_angle_beta 90.00
_cell_angle_gamma 90.00
loop_
_space_group_symop_operation_xyz
'x,y,z'
'-x,-y,z+1/2'
'-x,y,z'
'x,-y,z+1/2'
'x+1/2,y+1/2,z'
'-x+1/2,-y+1/2,z+1/2'
'-x+1/2,y+1/2,z'
'x+1/2,-y+1/2,z+1/2'
loop_
_atom_site_label
_atom_site_fract_x
_atom_site_fract_y
_atom_site_fract_z
U1 0.000 0.101 0.000
U2 0.182 0.399 0.899
Ga1 0.000 0.321 0.385
S1 0.000 0.268 0.769
S2 0.000 0.486 0.148
S3 0.162 0.035 0.701
S4 0.176 0.232 0.168
```